[1]
# TiCuGe2

A PBEsol-optimized structure of TiCuGe2 (SCAN, the Alexandria database).

abc: 4.405 4.405 4.405
angles: 60.00 60.00 60.00
Atoms (fractional coordinates):
Ge  0.250  0.250  0.250
Ge  0.750  0.750  0.750
Cu  0.500  0.500  0.500
Ti  0.000  0.000  0.000

Computed properties:
The calculation puts the density of states at the Fermi level at 2.35 states/eV/cell. The value obtained for the energy relative to the elements is 0.02 eV/atom. Its space group is Fm-3m.

=====

[2]
# SrCdS2

A PBEsol-optimized structure of SrCdS2 (SCAN, the Alexandria database).

abc: 4.063 4.063 8.441
angles: 76.08 76.08 60.00
Atoms (fractional coordinates):
Sr  0.000  0.000  0.000
S  0.888  0.888  0.335
S  0.112  0.112  0.665
Cd  0.500  0.500  0.500

Computed properties:
The calculation puts the density of states at the Fermi level at 4.57 states/eV/cell. The calculation puts the energy relative to the elements, uncorrected at -0.577 eV/atom. Its space group is R-3m.

=====

[3]
# Mn2SI

A PBEsol-optimized structure of Mn2SI (SCAN, the Alexandria database).

abc: 4.672 4.672 4.672
angles: 60.00 60.00 60.00
Atoms (fractional coordinates):
I  0.500  0.500  0.500
S  0.000  0.000  0.000
Mn  0.250  0.250  0.250
Mn  0.750  0.750  0.750

Computed properties:
The calculation puts the density of states at the Fermi level at 2.78 states/eV/cell. The calculation puts the energy relative to the elements, uncorrected at 0.060 eV/atom. Its space group is Fm-3m.

=====

[4]
# CaCu4Au

A PBEsol-optimized structure of CaCu4Au (SCAN, the Alexandria database).

abc: 4.969 4.969 4.969
angles: 60.00 60.00 60.00
Atoms (fractional coordinates):
Au  0.750  0.750  0.750
Ca  0.000  0.000  0.000
Cu  0.376  0.376  0.376
Cu  0.376  0.376  0.873
Cu  0.873  0.376  0.376
Cu  0.376  0.873  0.376

Computed properties:
The calculation puts the density of states at the Fermi level at 2.36 states/eV/cell. The value obtained for the energy relative to the elements is -0.23 eV/atom. Its space group is F-43m.

=====

[5]
# K3CaP2O8

A PBEsol-optimized structure of K3CaP2O8 (SCAN, the Alexandria database).

abc: 5.681 5.712 7.378
angles: 94.46 90.00 119.82
Atoms (fractional coordinates):
K  0.000  0.000  0.000
K  0.668  0.337  0.693
K  0.332  0.663  0.307
Ca  0.000  0.000  0.500
P  0.656  0.312  0.245
P  0.344  0.688  0.755
O  0.627  0.255  0.034
O  0.373  0.745  0.966
O  0.812  0.625  0.284
O  0.188  0.375  0.716
O  0.818  0.191  0.327
O  0.373  0.191  0.327
O  0.182  0.809  0.673
O  0.627  0.809  0.673

Computed properties:
The calculation puts the energy relative to the elements, uncorrected at -2.603 eV/atom. Its space group is C2/m.

=====

[6]
# Sr3NCl

A PBEsol-optimized structure of Sr3NCl (SCAN, the Alexandria database).

abc: 5.414 5.414 5.414
angles: 90.00 90.00 90.00
Atoms (fractional coordinates):
Sr  0.000  0.500  0.000
Sr  0.000  0.000  0.500
Sr  0.500  0.000  0.000
N  0.500  0.500  0.500
Cl  0.000  0.000  0.000

Computed properties:
The calculation puts the density of states at the Fermi level at 3.58 states/eV/cell. The calculation puts the energy relative to the elements, uncorrected at 0.292 eV/atom. Its space group is Pm-3m.

=====

[7]
# ZrW

A PBEsol-optimized structure of ZrW (SCAN, the Alexandria database).

abc: 4.661 4.661 4.661
angles: 60.00 60.00 60.00
Atoms (fractional coordinates):
W  0.500  0.500  0.500
W  0.750  0.750  0.750
Zr  0.250  0.250  0.250
Zr  0.000  0.000  0.000

Computed properties:
The calculation puts the density of states at the Fermi level at 3.92 states/eV/cell. The value obtained for the energy relative to the elements is 0.17 eV/atom. Its space group is Fd-3m.

=====

[8]
# InHg2Cl

A PBEsol-optimized structure of InHg2Cl (SCAN, the Alexandria database).

abc: 4.025 4.352 6.392
angles: 110.51 90.00 90.00
Atoms (fractional coordinates):
In  0.000  0.719  0.582
Hg  0.000  0.985  0.085
Hg  0.500  0.531  0.171
Cl  0.500  0.265  0.662

Computed properties:
The calculation puts the energy above the lowest structure with this stoichiometry at 0 meV/atom. The calculation puts the density of states at the Fermi level at 0.56 states/eV/cell. The calculation puts the energy relative to the elements, uncorrected at -0.392 eV/atom. Its space group is Pm.

=====

[9]
# ZrMnCu2

A PBEsol-optimized structure of ZrMnCu2 (SCAN, the Alexandria database).

abc: 3.713 3.713 4.773
angles: 112.89 112.89 90.00
Atoms (fractional coordinates):
Cu  0.750  0.250  0.500
Cu  0.250  0.750  0.500
Mn  0.000  0.000  0.000
Zr  0.500  0.500  0.000

Computed properties:
The calculation puts the density of states at the Fermi level at 2.28 states/eV/cell. The value obtained for the energy relative to the elements is -0.08 eV/atom. Its space group is I4/mmm.

=====

[10]
# HgPbAu

A PBEsol-optimized structure of HgPbAu (SCAN, the Alexandria database).

abc: 3.817 4.644 4.644
angles: 120.00 90.00 90.00
Atoms (fractional coordinates):
Pb  0.302  0.667  0.333
Au  0.958  0.000  0.000
Hg  0.739  0.333  0.667

Computed properties:
The calculation puts the energy above the lowest structure with this stoichiometry at 79 meV/atom. The calculation puts the density of states at the Fermi level at 1.31 states/eV/cell. The value obtained for the energy relative to the elements is 0.02 eV/atom. Its space group is P3m1.

=====

[11]
# LiBeRh3

A PBEsol-optimized structure of LiBeRh3 (SCAN, the Alexandria database).

abc: 3.987 3.987 3.987
angles: 90.00 90.00 90.00
Atoms (fractional coordinates):
Be  0.500  0.500  0.500
Rh  0.000  0.500  0.000
Rh  0.000  0.000  0.500
Rh  0.500  0.000  0.000
Li  0.000  0.000  0.000

Computed properties:
The calculation puts the density of states at the Fermi level at 3.00 states/eV/cell. The value obtained for the energy relative to the elements is 0.70 eV/atom. Its space group is Pm-3m.

=====

[12]
# ZnFeTeI2

A PBEsol-optimized structure of ZnFeTeI2 (SCAN, the Alexandria database).

abc: 5.349 5.349 5.332
angles: 90.00 90.00 90.00
Atoms (fractional coordinates):
I  0.000  0.500  0.000
I  0.500  0.000  0.000
Zn  0.000  0.000  0.000
Te  0.000  0.000  0.500
Fe  0.500  0.500  0.500

Computed properties:
The calculation puts the density of states at the Fermi level at 3.79 states/eV/cell. The calculation puts the energy relative to the elements, uncorrected at 0.637 eV/atom. Its space group is P4/mmm.

=====

[13]
# BaSr2Mg

A PBEsol-optimized structure of BaSr2Mg (SCAN, the Alexandria database).

abc: 6.292 6.292 6.292
angles: 60.00 60.00 60.00
Atoms (fractional coordinates):
Sr  0.000  0.000  0.000
Sr  0.750  0.750  0.750
Mg  0.250  0.250  0.250
Ba  0.500  0.500  0.500

Computed properties:
The calculation puts the density of states at the Fermi level at 3.48 states/eV/cell. The value obtained for the energy relative to the elements is 0.06 eV/atom. Its space group is F-43m.

=====

[14]
# CoNiIr2

A PBEsol-optimized structure of CoNiIr2 (SCAN, the Alexandria database).

abc: 2.634 4.419 4.566
angles: 99.88 90.00 107.34
Atoms (fractional coordinates):
Ni  0.000  0.000  0.500
Ir  0.752  0.505  0.751
Ir  0.248  0.495  0.249
Co  0.500  0.000  0.000

Computed properties:
The calculation puts the energy above the lowest structure with this stoichiometry at 0 meV/atom. The calculation puts the density of states at the Fermi level at 4.09 states/eV/cell. The value obtained for the energy relative to the elements is 0.00 eV/atom. Its space group is C2/m.

=====

[15]
# InGa2Bi

A PBEsol-optimized structure of InGa2Bi (SCAN, the Alexandria database).

abc: 5.089 5.089 5.089
angles: 60.00 60.00 60.00
Atoms (fractional coordinates):
Bi  0.500  0.500  0.500
Ga  0.250  0.250  0.250
Ga  0.750  0.750  0.750
In  0.000  0.000  0.000

Computed properties:
The calculation puts the density of states at the Fermi level at 2.35 states/eV/cell. The value obtained for the energy relative to the elements is 0.19 eV/atom. Its space group is Fm-3m.

=====

[16]
# YZnCr2

A PBEsol-optimized structure of YZnCr2 (SCAN, the Alexandria database).

abc: 3.293 4.308 5.166
angles: 114.64 108.59 90.00
Atoms (fractional coordinates):
Cr  0.740  0.740  0.481
Cr  0.260  0.260  0.519
Y  0.500  0.000  0.000
Zn  0.000  0.500  0.000

Computed properties:
The calculation puts the density of states at the Fermi level at 2.56 states/eV/cell. The value obtained for the energy relative to the elements is 0.49 eV/atom. Its space group is Immm.

=====

[17]
# Ce3Si4Ni4

A PBEsol-optimized structure of Ce3Si4Ni4 (SCAN, the Alexandria database).

abc: 3.928 4.000 11.937
angles: 99.65 99.47 90.00
Atoms (fractional coordinates):
Ni  0.750  0.750  0.501
Ni  0.250  0.250  0.499
Ni  0.402  0.902  0.804
Ni  0.598  0.098  0.196
Si  0.302  0.802  0.603
Si  0.551  0.551  0.102
Si  0.449  0.449  0.898
Si  0.698  0.198  0.397
Ce  0.149  0.649  0.299
Ce  0.000  0.000  0.000
Ce  0.851  0.351  0.701

Computed properties:
The calculation puts the density of states at the Fermi level at 9.23 states/eV/cell. The calculation puts the energy relative to the elements, uncorrected at -0.774 eV/atom. Its space group is Immm.

=====

[18]
# TlCr2S2

A PBEsol-optimized structure of TlCr2S2 (SCAN, the Alexandria database).

abc: 4.532 5.060 4.532
angles: 116.61 90.00 116.61
Atoms (fractional coordinates):
Cr  0.377  0.753  0.377
Cr  0.623  0.247  0.623
Tl  0.000  0.000  0.000
S  0.250  0.500  0.750
S  0.750  0.500  0.250

Computed properties:
The calculation puts the density of states at the Fermi level at 1.52 states/eV/cell. The calculation puts the energy relative to the elements, uncorrected at -0.006 eV/atom. Its space group is I4/mmm.

=====

[19]
# NiTeRh2

A PBEsol-optimized structure of NiTeRh2 (SCAN, the Alexandria database).

abc: 3.024 3.671 5.358
angles: 90.00 90.00 90.00
Atoms (fractional coordinates):
Ni  0.500  0.500  0.780
Rh  0.000  0.000  0.975
Rh  0.500  0.500  0.252
Te  0.000  0.000  0.492

Computed properties:
The calculation puts the density of states at the Fermi level at 2.25 states/eV/cell. The calculation puts the energy relative to the elements, uncorrected at 0.053 eV/atom. Its space group is Pmm2.

=====

[20]
# CsLiAgBr2

A PBEsol-optimized structure of CsLiAgBr2 (SCAN, the Alexandria database).

abc: 5.733 6.546 6.546
angles: 90.00 90.00 90.00
Atoms (fractional coordinates):
Cs  0.000  0.000  0.000
Br  0.000  0.000  0.500
Br  0.000  0.500  0.000
Ag  0.500  0.000  0.000
Li  0.500  0.500  0.500

Computed properties:
The calculation puts the density of states at the Fermi level at 0.98 states/eV/cell. The calculation puts the energy relative to the elements, uncorrected at -0.282 eV/atom. Its space group is P4/mmm.

=====

[21]
# Ba2HgAu

A PBEsol-optimized structure of Ba2HgAu (SCAN, the Alexandria database).

abc: 4.468 5.075 6.439
angles: 90.00 110.30 90.00
Atoms (fractional coordinates):
Au  0.698  0.500  0.396
Hg  0.552  0.000  0.103
Ba  0.987  0.500  0.974
Ba  0.263  0.000  0.527

Computed properties:
The calculation puts the density of states at the Fermi level at 2.96 states/eV/cell. The value obtained for the energy relative to the elements is -0.74 eV/atom. Its space group is Amm2.

=====

[22]
# SbRhBr2

A PBEsol-optimized structure of SbRhBr2 (SCAN, the Alexandria database).

abc: 3.870 3.870 8.151
angles: 90.05 90.05 59.99
Atoms (fractional coordinates):
Sb  0.875  0.875  0.335
Rh  0.542  0.542  0.478
Br  0.874  0.874  0.029
Br  0.209  0.209  0.658

Computed properties:
The calculation puts the energy above the lowest structure with this stoichiometry at 0 meV/atom. The calculation puts the energy relative to the elements, uncorrected at -0.533 eV/atom. Its space group is P3m1.

=====

[23]
# CoSnOs2S

A PBEsol-optimized structure of CoSnOs2S (SCAN, the Alexandria database).

abc: 4.532 4.847 4.847
angles: 90.00 90.00 90.00
Atoms (fractional coordinates):
Co  0.500  0.000  0.000
S  0.500  0.500  0.500
Os  0.000  0.000  0.500
Os  0.000  0.500  0.000
Sn  0.000  0.000  0.000

Computed properties:
The calculation puts the density of states at the Fermi level at 5.81 states/eV/cell. The calculation puts the energy relative to the elements, uncorrected at 2.598 eV/atom. Its space group is P4/mmm.

=====

[24]
# KLiN2

A PBEsol-optimized structure of KLiN2 (SCAN, the Alexandria database).

abc: 4.389 4.389 4.389
angles: 60.00 60.00 60.00
Atoms (fractional coordinates):
K  0.500  0.500  0.500
N  0.250  0.250  0.250
N  0.750  0.750  0.750
Li  0.000  0.000  0.000

Computed properties:
The calculation puts the density of states at the Fermi level at 2.13 states/eV/cell. The calculation puts the energy relative to the elements, uncorrected at 1.224 eV/atom. Its space group is Fm-3m.

=====

[25]
# BaLaRh

A PBEsol-optimized structure of BaLaRh (SCAN, the Alexandria database).

abc: 5.074 5.074 5.074
angles: 60.00 60.00 60.00
Atoms (fractional coordinates):
Ba  0.000  0.000  0.000
La  0.500  0.500  0.500
Rh  0.250  0.250  0.250

Computed properties:
The calculation puts the energy above the lowest structure with this stoichiometry at 0 meV/atom. The calculation puts the density of states at the Fermi level at 1.85 states/eV/cell. The value obtained for the energy relative to the elements is -0.31 eV/atom. Its space group is F-43m.

=====

[26]
# Al2RhW

A PBEsol-optimized structure of Al2RhW (SCAN, the Alexandria database).

abc: 3.719 3.719 4.924
angles: 112.19 112.19 90.00
Atoms (fractional coordinates):
Rh  0.500  0.500  0.000
Al  0.000  0.000  0.000
Al  0.750  0.250  0.500
W  0.250  0.750  0.500

Computed properties:
The calculation puts the energy above the lowest structure with this stoichiometry at 112 meV/atom. The calculation puts the density of states at the Fermi level at 4.13 states/eV/cell. The value obtained for the energy relative to the elements is -0.29 eV/atom. Its space group is I-4m2.

=====

[27]
# Al2FeRh

A PBEsol-optimized structure of Al2FeRh (SCAN, the Alexandria database).

abc: 2.777 3.610 5.229
angles: 90.00 90.00 90.00
Atoms (fractional coordinates):
Rh  0.500  0.500  0.767
Fe  0.000  0.000  0.482
Al  0.000  0.000  0.978
Al  0.500  0.500  0.274

Computed properties:
The calculation puts the density of states at the Fermi level at 2.14 states/eV/cell. The value obtained for the energy relative to the elements is -0.55 eV/atom. Its space group is Pmm2.

=====

[28]
# CoIrOs2

A PBEsol-optimized structure of CoIrOs2 (SCAN, the Alexandria database).

abc: 2.660 2.660 7.387
angles: 90.00 90.00 90.00
Atoms (fractional coordinates):
Co  0.500  0.500  0.000
Ir  0.500  0.500  0.500
Os  0.000  0.000  0.764
Os  0.000  0.000  0.236

Computed properties:
The calculation puts the energy above the lowest structure with this stoichiometry at 56 meV/atom. The calculation puts the density of states at the Fermi level at 3.22 states/eV/cell. The value obtained for the energy relative to the elements is 0.18 eV/atom. Its space group is P4/mmm.

=====

[29]
# RbZnMo3

A PBEsol-optimized structure of RbZnMo3 (SCAN, the Alexandria database).

abc: 4.750 4.750 4.750
angles: 90.00 90.00 90.00
Atoms (fractional coordinates):
Mo  0.000  0.500  0.000
Mo  0.000  0.000  0.500
Mo  0.500  0.000  0.000
Zn  0.000  0.000  0.000
Rb  0.500  0.500  0.500

Computed properties:
The calculation puts the density of states at the Fermi level at 9.46 states/eV/cell. The value obtained for the energy relative to the elements is 2.38 eV/atom. Its space group is Pm-3m.